Model a:
First-principles (GGA-PBE) data for crystalline Sr5Tl4 at its relaxed geometry, as listed in Alexandria.

The structure belongs to space group I4/mmm (No. 139); the cell edges are 10.750, 10.750 and 5.904 Å and the angles 90.00°, 90.00° and 90.00°. Symmetry generates all atoms from Sr at (0.000, 0.000, 0.000), Sr at (0.178, 0.178, 0.500) and Tl at (0.000, 0.349, 0.000).

The magnetization comes out at 0.00 μB/cell.

=====

Model b:
First-principles (GGA-PBE) data for crystalline Sr5Tl4 at its relaxed geometry, as listed in Alexandria.

The structure belongs to space group P6_3/mcm (No. 193); the cell edges are 10.3024, 10.3024 and 7.2464 Å and the angles 90.00°, 90.00° and 120.00°. Symmetry generates all atoms from Sr at (0.0000, 0.2885, 0.2500), Sr at (0.3333, 0.6667, 0.0000), Tl at (0.0000, 0.0000, 0.0000) and Tl at (0.0000, 0.3776, 0.7500).

The magnetization comes out at 0.00 μB/cell.

=====

Which structure wins on stability? model b wins.